1.
Entry from Alexandria: crystalline CsKTl2Pd at its relaxed geometry (PBE).

a = 5.472 Å, b = 5.472 Å, c = 6.255 Å
α = 90.00°, β = 90.00°, γ = 90.00°
Space group P4/mmm (No. 123)
Inequivalent atoms, fractional coordinates:
1 Cs 0.000 0.000 0.000 [1 per cell]
2 K 0.500 0.500 0.000 [1 per cell]
3 Tl 0.000 0.500 0.500 [2 per cell]
4 Pd 0.500 0.500 0.500 [1 per cell]

Values from the calculation:
The value obtained for the density of states at the Fermi level is 0.68 states/eV per atom. The value obtained for the total energy is -12.3 eV per cell. The energy above the most stable polymorph in this dataset is 0.0 meV/atom. The value obtained for the energy relative to the elements is -0.0816 eV/atom. Its total magnetization is 0.000 Bohr magnetons per cell.

2.
Entry from Alexandria: crystalline Sr3Ac2 at its relaxed geometry (PBE).

a = 7.8209 Å, b = 7.8209 Å, c = 15.1881 Å
α = 90.00°, β = 90.00°, γ = 120.00°
Space group R-3m (No. 166, hexagonal axes)
Inequivalent atoms, fractional coordinates:
1 Sr 0.0000 0.5000 0.0000 [9 per cell]
2 Ac 0.0000 0.0000 0.1187 [6 per cell]

Values from the calculation:
The value obtained for the density of states at the Fermi level is 1.72 states/eV per atom. The value obtained for the total energy is -35.7 eV per cell. The energy above the most stable polymorph in this dataset is 248.7 meV/atom. The value obtained for the energy relative to the elements is 0.2747 eV/atom. Its total magnetization is 4.551 Bohr magnetons per cell.

What did the first record say?
Entry from Alexandria: crystalline CsKTl2Pd at its relaxed geometry (PBE).

a = 5.472 Å, b = 5.472 Å, c = 6.255 Å
α = 90.00°, β = 90.00°, γ = 90.00°
Space group P4/mmm (No. 123)
Inequivalent atoms, fractional coordinates:
1 Cs 0.000 0.000 0.000 [1 per cell]
2 K 0.500 0.500 0.000 [1 per cell]
3 Tl 0.000 0.500 0.500 [2 per cell]
4 Pd 0.500 0.500 0.500 [1 per cell]

Values from the calculation:
The value obtained for the density of states at the Fermi level is 0.68 states/eV per atom. The value obtained for the total energy is -12.3 eV per cell. The energy above the most stable polymorph in this dataset is 0.0 meV/atom. The value obtained for the energy relative to the elements is -0.0816 eV/atom. Its total magnetization is 0.000 Bohr magnetons per cell.

Question: What is the formula in the second record?
Answer: Sr3Ac2

Question: The highest total energy belongs to which entry?
Answer: CsKTl2Pd

Question: Look up the energy relative to the elements of the first one.
Answer: -0.0816 eV/atom